Entry from Alexandria: a geometry-optimized NiH2O structure (PBE+U).

The structure in POSCAR format:
```
NiH2O
1.0
0.000 2.991 2.991
2.991 0.000 2.991
2.991 2.991 0.000
Ni H O
2 4 2
Direct
0.125 0.125 0.125
0.875 0.875 0.875
0.000 0.500 0.500
0.500 0.000 0.500
0.500 0.500 0.000
0.500 0.500 0.500
0.375 0.375 0.375
0.625 0.625 0.625
```

SG ... Fd-3m, No. 227
E above lowest polymorph ... 0.00 kJ/mol of atoms
Mass density ... 4.76 g/cm3
Density of states at the Fermi level ... 1.329 states/eV per atom